Compound: LiSiAuSe3
Source: OQMD via LeMat-Bulk
Functional: PBE
Structure: relaxed

a b c (Å): 7.080 7.080 10.114
angles (deg): 90.00 90.00 151.05
Fractional coordinates of all 12 atoms:
Li1 0.189 0.811 0.750
Li2 0.811 0.189 0.250
Si1 0.500 0.500 0.000
Si2 0.500 0.500 0.500
Au1 0.151 0.849 0.250
Au2 0.849 0.151 0.750
Se1 0.130 0.870 0.011
Se2 0.130 0.870 0.489
Se3 0.454 0.546 0.250
Se4 0.546 0.454 0.750
Se5 0.870 0.130 0.511
Se6 0.870 0.130 0.989

Volume = 122.66 Å³/f.u.
Space group = Cmcm, No. 63
Uncorrected energy = -46.383 eV/cell

Compound: HfGeB4
Source: OQMD via LeMat-Bulk
Functional: PBE
Structure: relaxed

a b c (Å): 3.109 3.109 7.438
angles (deg): 90.00 90.00 120.00
Fractional coordinates of all 6 atoms:
Hf1 0.000 0.000 0.000
Ge1 0.000 0.000 0.500
B1 0.333 0.667 0.233
B2 0.333 0.667 0.767
B3 0.667 0.333 0.233
B4 0.667 0.333 0.767

Volume = 62.25 Å³/f.u.
Space group = P6/mmm, No. 191
Uncorrected energy = -42.529 eV/cell

Compound: Cu2Ag
Source: OQMD via LeMat-Bulk
Functional: PBE
Structure: relaxed

a b c (Å): 12.801 12.801 12.801
angles (deg): 167.69 163.80 20.39
Fractional coordinates of all 9 atoms:
Cu1 0.000 0.000 0.000
Cu2 0.099 0.099 0.000
Cu3 0.198 0.198 0.000
Cu4 0.549 0.549 0.000
Cu5 0.649 0.649 0.000
Cu6 0.884 0.884 0.000
Ag1 0.326 0.326 0.000
Ag2 0.441 0.441 0.000
Ag3 0.757 0.757 0.000

Volume = 41.58 Å³/f.u.
Energy of formation from the pure elements = 21.7 kJ/mol of formula units
Space group = Imm2, No. 44
Uncorrected energy = -30.099 eV/cell

Compound: LaBeReW
Source: OQMD via LeMat-Bulk
Functional: PBE
Structure: relaxed

a b c (Å): 4.659 4.659 4.659
angles (deg): 60.00 60.00 60.00
Fractional coordinates of all 4 atoms:
La1 0.000 0.000 0.000
Be1 0.750 0.750 0.750
Re1 0.250 0.250 0.250
W1 0.500 0.500 0.500

Volume = 71.53 Å³/f.u.
Space group = F-43m, No. 216
Uncorrected energy = -31.237 eV/cell

Compound: LaPr2Mg3Ir2Pd
Source: OQMD via LeMat-Bulk
Functional: PBE
Structure: relaxed

a b c (Å): 4.134 7.546 7.546
angles (deg): 119.55 90.00 90.00
Fractional coordinates of all 9 atoms:
La1 0.000 0.000 0.000
Pr1 0.000 0.420 0.839
Pr2 0.000 0.839 0.420
Mg1 0.500 0.177 0.423
Mg2 0.500 0.423 0.177
Mg3 0.500 0.662 0.662
Ir1 0.500 0.088 0.759
Ir2 0.500 0.759 0.088
Pd1 0.000 0.422 0.422

Volume = 204.78 Å³/f.u.
Space group = Amm2, No. 38
Uncorrected energy = -47.678 eV/cell

Compound: ZrC
Source: OQMD via LeMat-Bulk
Functional: PBE
Structure: relaxed

a b c (Å): 3.335 3.335 3.335
angles (deg): 60.00 60.00 60.00
Fractional coordinates of all 2 atoms:
Zr1 0.000 0.000 0.000
C1 0.500 0.500 0.500

Volume = 26.23 Å³/f.u.
Space group = Fm-3m, No. 225
Uncorrected energy = -19.388 eV/cell

Q: The highest uncorrected energy belongs to which entry?
A: ZrC